A relaxed KLi3Ni4F12 crystal. Source: Alexandria via LeMat-Bulk, functional PBE+U.

a = 6.610 Å, b = 6.610 Å, c = 6.610 Å
α = 109.47°, β = 109.47°, γ = 109.47°
Atoms (fractional coordinates):
K1 0.000 0.000 0.000
Li1 0.000 0.500 0.500
Li2 0.500 0.000 0.500
Li3 0.500 0.500 0.000
Ni1 0.000 0.000 0.500
Ni2 0.000 0.500 0.000
Ni3 0.500 0.000 0.000
Ni4 0.500 0.500 0.500
F1 0.130 0.818 0.312
F2 0.182 0.312 0.493
F3 0.182 0.688 0.870
F4 0.312 0.130 0.818
F5 0.312 0.493 0.182
F6 0.493 0.182 0.312
F7 0.507 0.818 0.688
F8 0.688 0.507 0.818
F9 0.688 0.870 0.182
F10 0.818 0.312 0.130
F11 0.818 0.688 0.507
F12 0.870 0.182 0.688

Summary:
E	-4.439	eV per atom